Here is a relaxed structure of MgHSe3 from Alexandria via LeMat-Bulk. Energies are from PBE.

```
5
Lattice="4.428 0.000 0.000 0.000 4.428 0.000 0.000 0.000 4.428" Properties=species:S:1:pos:R:3 pbc="T T T"
H 0.000 0.000 0.000
Se 2.214 0.000 0.000
Se 0.000 2.214 0.000
Se 0.000 0.000 2.214
Mg 2.214 2.214 2.214
```

Properties
- Offset from the most stable computed form: 0 meV/atom
- VASP energy: -13.6 eV/f.u.